Li3VOF5 | PBE+U | optimized geometry

CIF file:
```
data_Li3VOF5
_symmetry_space_group_name_H-M 'P 1'
_symmetry_Int_Tables_number 1
_cell_length_a 5.067
_cell_length_b 5.269
_cell_length_c 7.678
_cell_angle_alpha 90.00
_cell_angle_beta 89.73
_cell_angle_gamma 90.00
loop_
_symmetry_equiv_pos_as_xyz
'x,y,z'
loop_
_atom_site_label
_atom_site_fract_x
_atom_site_fract_y
_atom_site_fract_z
Li1 0.006 0.740 0.512
Li2 0.506 0.260 0.012
Li3 0.990 0.210 0.771
Li4 0.490 0.790 0.271
Li5 0.511 0.712 0.780
Li6 0.011 0.288 0.280
V1 0.024 0.757 0.003
V2 0.524 0.243 0.503
O1 0.810 0.388 0.549
O2 0.310 0.612 0.049
F1 0.855 0.680 0.228
F2 0.355 0.320 0.728
F3 0.812 0.479 0.908
F4 0.312 0.521 0.408
F5 0.706 0.965 0.923
F6 0.206 0.035 0.423
F7 0.648 0.901 0.567
F8 0.148 0.099 0.067
F9 0.635 0.163 0.259
F10 0.135 0.837 0.759
```

Summary:
mass density: 2.96 Mg/m³
polymorph energy (0 for the lowest one): 13 meV per atom
spin magnetization: 2.00 μB per cell
space-group type: Pc